# Y2InMo, PBEsol geometry, DFT meta-GGA SCAN
# Total DFT energy (no corrections) in Ha/atom: -1.1295
# Volume in A^3/atom: 22.94
# Size of the total moment in μB/f.u.: 0.00
data_Y2InMo
_chemical_formula_sum 'Y4 In2 Mo2'
_cell_length_a 9.985
_cell_length_b 3.177
_cell_length_c 5.868
_cell_angle_alpha 90.00
_cell_angle_beta 99.72
_cell_angle_gamma 90.00
_symmetry_space_group_name_H-M 'C 1 2/m 1'
_symmetry_Int_Tables_number 12
_symmetry_space_group_name_Hall '-C 2y'
loop_
_atom_site_label
_atom_site_type_symbol
_atom_site_fract_x
_atom_site_fract_y
_atom_site_fract_z
_atom_site_occupancy
Y1 Y 0.244 0.000 0.240 1
In1 In 0.000 0.000 0.500 1
Mo1 Mo 0.000 0.500 0.000 1

# YInMo2, PBEsol geometry, DFT meta-GGA SCAN
# Total DFT energy (no corrections) in Ha/atom: -1.1972
# Volume in A^3/atom: 18.79
# Size of the total moment in μB/f.u.: 0.00
data_YInMo2
_chemical_formula_sum 'Y4 In4 Mo8'
_cell_length_a 6.699
_cell_length_b 6.699
_cell_length_c 6.699
_cell_angle_alpha 90.00
_cell_angle_beta 90.00
_cell_angle_gamma 90.00
_symmetry_space_group_name_H-M 'F -4 3 m'
_symmetry_Int_Tables_number 216
_symmetry_space_group_name_Hall 'F -4 2 3'
loop_
_atom_site_label
_atom_site_type_symbol
_atom_site_fract_x
_atom_site_fract_y
_atom_site_fract_z
_atom_site_occupancy
Y1 Y 0.000 0.000 0.000 1
In1 In 0.250 0.250 0.750 1
Mo1 Mo 0.000 0.000 0.500 1
Mo2 Mo 0.250 0.250 0.250 1